This record from Alexandria via LeMat-Bulk describes Cs2ZnInHg6 after structural relaxation. The functional is GGA-PBE.

Lattice parameters (Å, degrees): 11.3115 11.3001 8.0013 90.00 134.66 90.00
Closest atoms and distances in Å follow each position.
Space group C2/m (No. 12)
Asymmetric unit:
Cs  0.0000  0.2500  0.0000 (multiplicity 4)  12 Hg 4.00-4.02
Zn  0.0000  0.0000  0.5000 (multiplicity 2)  6 Hg 2.71-2.73
In  0.0000  0.5000  0.5000 (multiplicity 2)  6 Hg 2.94-2.96
Hg  0.0000  0.2397  0.5000 (multiplicity 4)  1 Zn 2.71, 1 In 2.94
Hg  0.2398  0.0000  0.5000 (multiplicity 4)  1 Zn 2.71, 1 In 2.94
Hg  0.2398  0.0000  0.9794 (multiplicity 4)  1 Zn 2.73, 1 In 2.96

Results
**DFT total energy**: -0.0328 hartree per atom
**DOS(E_F)**: 4.9 states/eV/f.u.
**Energy relative to the elements**: -0.1382 eV/atom